DFT (PBE-GGA) results for a relaxed structure of Cs2NpAlSe4.

Computed properties:
- Fermi-level density of states: 3.52 states/eV/f.u.
- SG: No. 70
- Formation energy without anion corrections: -1.064 eV/atom

Lattice parameters (Å, degrees): 6.506 8.209 13.765 84.63 76.33 66.66
Sites, in units of the cell vectors:
1 Al 0.250 0.500 0.500
2 Al 0.500 0.000 0.000
3 Se 0.418 0.695 0.396
4 Se 0.241 0.195 0.896
5 Se 0.332 0.805 0.104
6 Se 0.863 0.805 0.896
7 Se 0.564 0.195 0.104
8 Se 0.887 0.695 0.604
9 Se 0.509 0.305 0.604
10 Se 0.186 0.305 0.396
11 Cs 0.929 0.500 0.142
12 Cs 0.571 0.500 0.858
13 Cs 0.179 0.000 0.642
14 Cs 0.821 0.000 0.358
15 Np 0.750 0.500 0.500
16 Np 0.000 0.000 0.000